Computed, not measured: Al4PAu after structural relaxation at the PBE-GGA level of DFT.

* D(E_F): 3.03 states/eV/cell
* space group: F-43m, No. 216
* volume: 17.5 A^3/atom
* formation energy from the elements: 0.31 eV per atom

Structure (extended XYZ):
```
6
Lattice="0.000 3.743 3.743 3.743 0.000 3.743 3.743 3.743 0.000" Properties=species:S:1:pos:R:3 pbc="T T T"
Al 0.934 0.934 0.934
Al 2.809 2.809 0.934
Al 2.809 0.934 2.809
Al 0.934 2.809 2.809
P 3.743 3.743 3.743
Au 5.614 5.614 5.614
```